# 1
This record from the Alexandria database describes a geometry-optimized Nd3InHg structure. The functional is PBE.

The space group is Cmcm (No. 63) and the conventional cell measures 5.469, 20.285 and 5.467 Å, with angles of 90.00, 90.00 and 90.00 degrees. The inequivalent atoms are Nd at (0.000, 0.060, 0.250), Nd at (0.000, 0.249, 0.250), Nd at (0.000, 0.438, 0.250), In at (0.000, 0.154, 0.750) and Hg at (0.000, 0.349, 0.750).

The density of states at the Fermi level is 24.7 states/eV per cell. The energy above the lowest structure with this stoichiometry comes out at 0 meV/atom. The value obtained for the energy is -3.823 eV/atom. The formation energy is -354 meV/atom.

=====

# 2
This record from the Alexandria database describes a geometry-optimized ZrMn2Fe structure. The functional is PBE.

The space group is C2/m (No. 12) and the conventional cell measures 8.984, 2.844 and 4.462 Å, with angles of 90.00, 105.39 and 90.00 degrees. The inequivalent atoms are Zr at (0.000, 0.000, 0.000), Mn at (0.227, 0.000, 0.676) and Fe at (0.000, 0.500, 0.500).

The density of states at the Fermi level is 11.1 states/eV per cell. The energy above the lowest structure with this stoichiometry comes out at 168 meV/atom. The value obtained for the energy is -8.614 eV/atom. The formation energy is 223 meV/atom.

=====

# 3
This record from the Alexandria database describes a geometry-optimized Ag3W structure. The functional is PBE.

The space group is P-6m2 (No. 187) and the conventional cell measures 2.8409, 2.8409 and 9.8510 Å, with angles of 90.00, 90.00 and 120.00 degrees. The inequivalent atoms are Ag at (0.0000, 0.0000, 0.0000), Ag at (0.6667, 0.3333, 0.2528) and W at (0.0000, 0.0000, 0.5000).

The density of states at the Fermi level is 3.9 states/eV per cell. The energy above the lowest structure with this stoichiometry comes out at 0 meV/atom. The value obtained for the energy is -4.988 eV/atom. The formation energy is 389 meV/atom.

=====

# 4
This record from the Alexandria database describes a geometry-optimized Pa2AlCo2 structure. The functional is PBE.

The space group is P4/mbm (No. 127) and the conventional cell measures 7.154, 7.154 and 3.504 Å, with angles of 90.00, 90.00 and 90.00 degrees. The inequivalent atoms are Pa at (0.175, 0.325, 0.000), Al at (0.000, 0.000, 0.500) and Co at (0.135, 0.635, 0.500).

The density of states at the Fermi level is 9.4 states/eV per cell. The value obtained for the energy is -7.900 eV/atom. The formation energy is -511 meV/atom.

=====

# 5
This record from the Alexandria database describes a geometry-optimized ScTa2TcW structure. The functional is PBE.

The space group is P4/mmm (No. 123) and the conventional cell measures 4.790, 4.790 and 4.816 Å, with angles of 90.00, 90.00 and 90.00 degrees. The inequivalent atoms are Sc at (0.000, 0.000, 0.000), Ta at (0.000, 0.500, 0.500), Tc at (0.500, 0.500, 0.500) and W at (0.500, 0.500, 0.000).

The density of states at the Fermi level is 6.8 states/eV per cell. The value obtained for the energy is -9.570 eV/atom. The formation energy is 1101 meV/atom.